Compound: KRbTe2
Source: Alexandria via LeMat-Bulk
Functional: GGA-PBE
Structure: relaxed

As for the uncorrected formation energy: -284.9 meV/atom. The calculation puts the energy above the most stable polymorph in this dataset at 0.526 eV/atom. The calculation puts the density of states at the Fermi level at 0.961 states/eV/atom.

abc: 4.0700 4.0700 36.2609
angles: 90.00 90.00 120.00
Space group R-3m (No. 166, hexagonal axes)
One atom of each set of equivalent atoms:
K 0.0000 0.0000 0.0000 [3 per cell]
Rb 0.0000 0.0000 0.5000 [3 per cell]
Te 0.0000 0.0000 0.0891 [6 per cell]

Compound: KRb2Te
Source: Alexandria via LeMat-Bulk
Functional: GGA-PBE
Structure: relaxed

As for the uncorrected formation energy: -633.8 meV/atom. The calculation puts the density of states at the Fermi level at 0.374 states/eV/atom.

abc: 5.8742 5.8742 27.6387
angles: 90.00 90.00 120.00
Space group R3m (No. 160, hexagonal axes)
One atom of each set of equivalent atoms:
K 0.0000 0.0000 0.0000 [3 per cell]
Rb 0.0000 0.0000 0.2417 [3 per cell]
Rb 0.0000 0.0000 0.4797 [3 per cell]
Te 0.0000 0.0000 0.8713 [3 per cell]

Compound: KRbTe2
Source: Alexandria via LeMat-Bulk
Functional: GGA-PBE
Structure: relaxed

As for the uncorrected formation energy: -810.4 meV/atom. The calculation puts the energy above the most stable polymorph in this dataset at 0.000 eV/atom.

abc: 11.997 5.949 10.441
angles: 90.00 90.00 90.00
Space group Pnma (No. 62)
One atom of each set of equivalent atoms:
K 0.175 0.250 0.011 [4 per cell]
Rb 0.008 0.250 0.651 [4 per cell]
Te 0.092 0.750 0.813 [4 per cell]
Te 0.172 0.250 0.354 [4 per cell]